[1]
A plane-wave DFT calculation with GGA-PBE was carried out for an optimized crystal structure of NaLiGaHg.

The structure in CIF format:
```
data_NaLiGaHg
_cell_length_a 3.325
_cell_length_b 3.325
_cell_length_c 7.457
_cell_angle_alpha 90.00
_cell_angle_beta 90.00
_cell_angle_gamma 90.00
_symmetry_space_group_name_H-M 'P 1'
_symmetry_Int_Tables_number 1
loop_
_symmetry_equiv_pos_as_xyz
'x,y,z'
loop_
_atom_site_label
_atom_site_fract_x
_atom_site_fract_y
_atom_site_fract_z
Na1 0.000 0.000 0.000
Li1 0.000 0.000 0.484
Ga1 0.500 0.500 0.289
Hg1 0.500 0.500 0.698
```

DOS(E_F) = 1.789 states/eV per cell
SG = P4mm (99)
crystal system = tetragonal
total magnetic moment = 0.000 μB per atom
energy = -1.832 eV per atom
ρ = 6.049 Mg/m³

---

[2]
A plane-wave DFT calculation with GGA-PBE was carried out for an optimized crystal structure of ZnSb2TeAu.

The structure in CIF format:
```
data_ZnSb2TeAu
_cell_length_a 5.177
_cell_length_b 5.177
_cell_length_c 5.284
_cell_angle_alpha 90.00
_cell_angle_beta 90.00
_cell_angle_gamma 90.00
_symmetry_space_group_name_H-M 'P 1'
_symmetry_Int_Tables_number 1
loop_
_symmetry_equiv_pos_as_xyz
'x,y,z'
loop_
_atom_site_label
_atom_site_fract_x
_atom_site_fract_y
_atom_site_fract_z
Zn1 0.000 0.000 0.000
Sb1 0.000 0.500 0.000
Sb2 0.500 0.000 0.000
Te1 0.000 0.000 0.500
Au1 0.500 0.500 0.500
```

DOS(E_F) = 4.395 states/eV per cell
SG = P4/mmm (123)
crystal system = tetragonal
total magnetic moment = 0.000 μB per atom
energy = -2.507 eV per atom
ρ = 7.428 Mg/m³
raw formation energy = 329 kJ/mol of formula units

---

[3]
A plane-wave DFT calculation with GGA-PBE was carried out for an optimized crystal structure of MgRu5.

The structure in CIF format:
```
data_MgRu5
_cell_length_a 4.368
_cell_length_b 2.769
_cell_length_c 14.198
_cell_angle_alpha 90.00
_cell_angle_beta 90.00
_cell_angle_gamma 90.00
_symmetry_space_group_name_H-M 'P 1'
_symmetry_Int_Tables_number 1
loop_
_symmetry_equiv_pos_as_xyz
'x,y,z'
loop_
_atom_site_label
_atom_site_fract_x
_atom_site_fract_y
_atom_site_fract_z
Mg1 0.000 0.000 0.000
Mg2 0.000 0.500 0.500
Ru1 0.000 0.000 0.327
Ru2 0.000 0.000 0.669
Ru3 0.000 0.500 0.169
Ru4 0.000 0.500 0.827
Ru5 0.500 0.000 0.218
Ru6 0.500 0.000 0.554
Ru7 0.500 0.000 0.886
Ru8 0.500 0.500 0.054
Ru9 0.500 0.500 0.386
Ru10 0.500 0.500 0.718
```

DOS(E_F) = 13.625 states/eV per cell
SG = Amm2 (38)
crystal system = orthorhombic
total magnetic moment = 0.000 μB per atom
energy = -7.888 eV per atom
ρ = 10.243 Mg/m³

---

[4]
A plane-wave DFT calculation with GGA-PBE was carried out for an optimized crystal structure of Zr2AlH.

The structure in CIF format:
```
data_Zr2AlH
_cell_length_a 6.513
_cell_length_b 6.513
_cell_length_c 6.513
_cell_angle_alpha 90.00
_cell_angle_beta 90.00
_cell_angle_gamma 90.00
_symmetry_space_group_name_H-M 'P 1'
_symmetry_Int_Tables_number 1
loop_
_symmetry_equiv_pos_as_xyz
'x,y,z'
loop_
_atom_site_label
_atom_site_fract_x
_atom_site_fract_y
_atom_site_fract_z
Zr1 0.250 0.250 0.250
Zr2 0.250 0.250 0.750
Zr3 0.250 0.750 0.250
Zr4 0.250 0.750 0.750
Zr5 0.750 0.250 0.250
Zr6 0.750 0.250 0.750
Zr7 0.750 0.750 0.250
Zr8 0.750 0.750 0.750
Al1 0.000 0.000 0.000
Al2 0.000 0.500 0.500
Al3 0.500 0.000 0.500
Al4 0.500 0.500 0.000
H1 0.000 0.000 0.500
H2 0.000 0.500 0.000
H3 0.500 0.000 0.000
H4 0.500 0.500 0.500
```

DOS(E_F) = 10.892 states/eV per cell
SG = Fm-3m (225)
crystal system = cubic
total magnetic moment = 0.000 μB per atom
energy = -5.915 eV per atom
ρ = 5.060 Mg/m³

---

[5]
A plane-wave DFT calculation with GGA-PBE was carried out for an optimized crystal structure of MnCd2Te.

The structure in CIF format:
```
data_MnCd2Te
_cell_length_a 7.214
_cell_length_b 7.214
_cell_length_c 7.214
_cell_angle_alpha 90.00
_cell_angle_beta 90.00
_cell_angle_gamma 90.00
_symmetry_space_group_name_H-M 'P 1'
_symmetry_Int_Tables_number 1
loop_
_symmetry_equiv_pos_as_xyz
'x,y,z'
loop_
_atom_site_label
_atom_site_fract_x
_atom_site_fract_y
_atom_site_fract_z
Mn1 0.000 0.000 0.000
Mn2 0.000 0.500 0.500
Mn3 0.500 0.000 0.500
Mn4 0.500 0.500 0.000
Cd1 0.000 0.000 0.500
Cd2 0.000 0.500 0.000
Cd3 0.250 0.250 0.250
Cd4 0.250 0.750 0.750
Cd5 0.500 0.000 0.000
Cd6 0.500 0.500 0.500
Cd7 0.750 0.250 0.750
Cd8 0.750 0.750 0.250
Te1 0.250 0.250 0.750
Te2 0.250 0.750 0.250
Te3 0.750 0.250 0.250
Te4 0.750 0.750 0.750
```

DOS(E_F) = 14.526 states/eV per cell
SG = F-43m (216)
crystal system = cubic
total magnetic moment = 1.042 μB per atom
energy = -3.211 eV per atom
ρ = 7.206 Mg/m³
raw formation energy = 125 kJ/mol of formula units

---

[6]
A plane-wave DFT calculation with GGA-PBE was carried out for an optimized crystal structure of KInPb.

The structure in CIF format:
```
data_KInPb
_cell_length_a 6.219
_cell_length_b 6.219
_cell_length_c 11.246
_cell_angle_alpha 90.00
_cell_angle_beta 90.00
_cell_angle_gamma 120.00
_symmetry_space_group_name_H-M 'P 1'
_symmetry_Int_Tables_number 1
loop_
_symmetry_equiv_pos_as_xyz
'x,y,z'
loop_
_atom_site_label
_atom_site_fract_x
_atom_site_fract_y
_atom_site_fract_z
K1 0.333 0.667 0.250
K2 0.667 0.333 0.750
In1 0.000 0.000 0.250
In2 0.000 0.000 0.750
Pb1 0.000 0.000 0.000
Pb2 0.000 0.000 0.500
```

DOS(E_F) = 2.792 states/eV per cell
SG = P6_3/mmc (194)
crystal system = hexagonal
total magnetic moment = 0.000 μB per atom
energy = -2.157 eV per atom
ρ = 3.184 Mg/m³

---

[7]
A plane-wave DFT calculation with GGA-PBE was carried out for an optimized crystal structure of CrTcC2Cl.

The structure in CIF format:
```
data_CrTcC2Cl
_cell_length_a 3.908
_cell_length_b 3.908
_cell_length_c 5.070
_cell_angle_alpha 90.00
_cell_angle_beta 90.00
_cell_angle_gamma 90.00
_symmetry_space_group_name_H-M 'P 1'
_symmetry_Int_Tables_number 1
loop_
_symmetry_equiv_pos_as_xyz
'x,y,z'
loop_
_atom_site_label
_atom_site_fract_x
_atom_site_fract_y
_atom_site_fract_z
Cr1 0.000 0.000 0.000
Tc1 0.000 0.000 0.500
C1 0.000 0.500 0.500
C2 0.500 0.000 0.500
Cl1 0.500 0.500 0.000
```

DOS(E_F) = 4.966 states/eV per cell
SG = P4/mmm (123)
crystal system = tetragonal
total magnetic moment = 0.013 μB per atom
energy = -6.468 eV per atom
ρ = 4.491 Mg/m³
raw formation energy = 766 kJ/mol of formula units

---

[8]
A plane-wave DFT calculation with GGA-PBE was carried out for an optimized crystal structure of Nd2Dy3Ho6Th.

The structure in CIF format:
```
data_Nd2Dy3Ho6Th
_cell_length_a 6.176
_cell_length_b 6.176
_cell_length_c 11.756
_cell_angle_alpha 95.02
_cell_angle_beta 95.02
_cell_angle_gamma 119.95
_symmetry_space_group_name_H-M 'P 1'
_symmetry_Int_Tables_number 1
loop_
_symmetry_equiv_pos_as_xyz
'x,y,z'
loop_
_atom_site_label
_atom_site_fract_x
_atom_site_fract_y
_atom_site_fract_z
Nd1 0.167 0.833 0.000
Nd2 0.833 0.167 0.000
Dy1 0.000 0.000 0.500
Dy2 0.333 0.667 0.500
Dy3 0.667 0.333 0.500
Ho1 0.086 0.415 0.749
Ho2 0.255 0.255 0.251
Ho3 0.415 0.086 0.749
Ho4 0.585 0.914 0.251
Ho5 0.745 0.745 0.749
Ho6 0.914 0.585 0.251
Th1 0.500 0.500 0.000
```

DOS(E_F) = 15.692 states/eV per cell
SG = C2/m (12)
crystal system = monoclinic
total magnetic moment = 0.000 μB per atom
energy = -4.822 eV per atom
ρ = 8.671 Mg/m³

---

[9]
A plane-wave DFT calculation with GGA-PBE was carried out for an optimized crystal structure of ScGeBiO5.

The structure in CIF format:
```
data_ScGeBiO5
_cell_length_a 5.819
_cell_length_b 5.819
_cell_length_c 7.352
_cell_angle_alpha 103.31
_cell_angle_beta 103.31
_cell_angle_gamma 107.63
_symmetry_space_group_name_H-M 'P 1'
_symmetry_Int_Tables_number 1
loop_
_symmetry_equiv_pos_as_xyz
'x,y,z'
loop_
_atom_site_label
_atom_site_fract_x
_atom_site_fract_y
_atom_site_fract_z
Sc1 0.000 0.000 0.000
Sc2 0.000 0.000 0.500
Ge1 0.327 0.673 0.750
Ge2 0.673 0.327 0.250
Bi1 0.315 0.685 0.250
Bi2 0.685 0.315 0.750
O1 0.088 0.912 0.250
O2 0.102 0.670 0.884
O3 0.254 0.381 0.569
O4 0.330 0.898 0.616
O5 0.381 0.254 0.069
O6 0.619 0.746 0.931
O7 0.670 0.102 0.384
O8 0.746 0.619 0.431
O9 0.898 0.330 0.116
O10 0.912 0.088 0.750
```

DOS(E_F) = 0.000 states/eV per cell
SG = C2/c (15)
crystal system = monoclinic
total magnetic moment = 0.000 μB per atom
energy = -7.066 eV per atom
ρ = 6.181 Mg/m³
raw formation energy = -1631 kJ/mol of formula units

---

[10]
A plane-wave DFT calculation with GGA-PBE was carried out for an optimized crystal structure of Sm6ZnRu.

The structure in CIF format:
```
data_Sm6ZnRu
_cell_length_a 5.061
_cell_length_b 5.061
_cell_length_c 17.692
_cell_angle_alpha 90.00
_cell_angle_beta 90.00
_cell_angle_gamma 90.00
_symmetry_space_group_name_H-M 'P 1'
_symmetry_Int_Tables_number 1
loop_
_symmetry_equiv_pos_as_xyz
'x,y,z'
loop_
_atom_site_label
_atom_site_fract_x
_atom_site_fract_y
_atom_site_fract_z
Sm1 0.000 0.000 0.248
Sm2 0.000 0.000 0.752
Sm3 0.000 0.500 0.097
Sm4 0.000 0.500 0.403
Sm5 0.000 0.500 0.597
Sm6 0.000 0.500 0.903
Sm7 0.500 0.000 0.097
Sm8 0.500 0.000 0.403
Sm9 0.500 0.000 0.597
Sm10 0.500 0.000 0.903
Sm11 0.500 0.500 0.252
Sm12 0.500 0.500 0.748
Zn1 0.000 0.000 0.000
Zn2 0.500 0.500 0.500
Ru1 0.000 0.000 0.500
Ru2 0.500 0.500 0.000
```

DOS(E_F) = 16.984 states/eV per cell
SG = I4/mmm (139)
crystal system = tetragonal
total magnetic moment = 0.000 μB per atom
energy = -4.972 eV per atom
ρ = 7.831 Mg/m³

---

[11]
A plane-wave DFT calculation with GGA-PBE was carried out for an optimized crystal structure of Zr2Sn2Rh3.

The structure in CIF format:
```
data_Zr2Sn2Rh3
_cell_length_a 4.542
_cell_length_b 4.556
_cell_length_c 8.055
_cell_angle_alpha 74.88
_cell_angle_beta 74.40
_cell_angle_gamma 60.22
_symmetry_space_group_name_H-M 'P 1'
_symmetry_Int_Tables_number 1
loop_
_symmetry_equiv_pos_as_xyz
'x,y,z'
loop_
_atom_site_label
_atom_site_fract_x
_atom_site_fract_y
_atom_site_fract_z
Zr1 0.125 0.130 0.126
Zr2 0.875 0.870 0.874
Sn1 0.382 0.389 0.356
Sn2 0.618 0.611 0.644
Rh1 0.000 0.000 0.500
Rh2 0.242 0.230 0.771
Rh3 0.758 0.770 0.229
```

DOS(E_F) = 5.594 states/eV per cell
SG = P-1 (2)
crystal system = triclinic
total magnetic moment = 0.000 μB per atom
energy = -7.306 eV per atom
ρ = 8.785 Mg/m³

---

[12]
A plane-wave DFT calculation with GGA-PBE was carried out for an optimized crystal structure of PrSmDy2Tm2.

The structure in CIF format:
```
data_PrSmDy2Tm2
_cell_length_a 6.533
_cell_length_b 17.886
_cell_length_c 3.402
_cell_angle_alpha 90.00
_cell_angle_beta 90.00
_cell_angle_gamma 90.00
_symmetry_space_group_name_H-M 'P 1'
_symmetry_Int_Tables_number 1
loop_
_symmetry_equiv_pos_as_xyz
'x,y,z'
loop_
_atom_site_label
_atom_site_fract_x
_atom_site_fract_y
_atom_site_fract_z
Pr1 0.000 0.000 0.000
Pr2 0.500 0.500 0.500
Sm1 0.000 0.500 0.000
Sm2 0.500 0.000 0.500
Dy1 0.221 0.188 0.000
Dy2 0.279 0.688 0.500
Dy3 0.721 0.312 0.500
Dy4 0.779 0.812 0.000
Tm1 0.220 0.351 0.500
Tm2 0.280 0.851 0.000
Tm3 0.720 0.149 0.000
Tm4 0.780 0.649 0.500
```

DOS(E_F) = 18.963 states/eV per cell
SG = Pnnm (58)
crystal system = orthorhombic
total magnetic moment = 0.000 μB per atom
energy = -4.327 eV per atom
ρ = 7.972 Mg/m³